1.
Compound: CsCd2CoPb
Source: Alexandria via LeMat-Bulk
Functional: GGA-PBE
Structure: relaxed

Cell and atoms, written as CIF:
```
data_CsCd2CoPb
_symmetry_space_group_name_H-M 'P 1'
_symmetry_Int_Tables_number 1
_cell_length_a 5.347
_cell_length_b 5.347
_cell_length_c 5.035
_cell_angle_alpha 90.00
_cell_angle_beta 90.00
_cell_angle_gamma 90.00
loop_
_symmetry_equiv_pos_as_xyz
'x,y,z'
loop_
_atom_site_label
_atom_site_type_symbol
_atom_site_fract_x
_atom_site_fract_y
_atom_site_fract_z
_atom_site_occupancy
Pb1 Pb 0.000 0.000 0.500 1
Cs1 Cs 0.500 0.500 0.500 1
Co1 Co 0.000 0.000 0.000 1
Cd1 Cd 0.000 0.500 0.000 1
Cd2 Cd 0.500 0.000 0.000 1
```

- space group = P4/mmm, No. 123

2.
Compound: CsTlCd2Co
Source: Alexandria via LeMat-Bulk
Functional: GGA-PBE
Structure: relaxed

Cell and atoms, written as CIF:
```
data_CsTlCd2Co
_symmetry_space_group_name_H-M 'P 1'
_symmetry_Int_Tables_number 1
_cell_length_a 5.294
_cell_length_b 5.294
_cell_length_c 5.161
_cell_angle_alpha 90.00
_cell_angle_beta 90.00
_cell_angle_gamma 90.00
loop_
_symmetry_equiv_pos_as_xyz
'x,y,z'
loop_
_atom_site_label
_atom_site_type_symbol
_atom_site_fract_x
_atom_site_fract_y
_atom_site_fract_z
_atom_site_occupancy
Cs1 Cs 0.500 0.500 0.500 1
Tl1 Tl 0.000 0.000 0.500 1
Co1 Co 0.000 0.000 0.000 1
Cd1 Cd 0.000 0.500 0.000 1
Cd2 Cd 0.500 0.000 0.000 1
```

- space group = P4/mmm, No. 123

3.
Compound: CdCo2Cu
Source: Alexandria via LeMat-Bulk
Functional: GGA-PBE
Structure: relaxed

Cell and atoms, written as CIF:
```
data_CdCo2Cu
_symmetry_space_group_name_H-M 'P 1'
_symmetry_Int_Tables_number 1
_cell_length_a 4.707
_cell_length_b 4.707
_cell_length_c 4.540
_cell_angle_alpha 78.38
_cell_angle_beta 78.38
_cell_angle_gamma 33.50
loop_
_symmetry_equiv_pos_as_xyz
'x,y,z'
loop_
_atom_site_label
_atom_site_type_symbol
_atom_site_fract_x
_atom_site_fract_y
_atom_site_fract_z
_atom_site_occupancy
Cd1 Cd 0.750 0.750 0.750 1
Co1 Co 0.993 0.993 0.027 1
Co2 Co 0.507 0.507 0.473 1
Cu1 Cu 0.250 0.250 0.250 1
```

- space group = C2/m, No. 12

4.
Compound: CdCo2Cu
Source: Alexandria via LeMat-Bulk
Functional: GGA-PBE
Structure: relaxed

Cell and atoms, written as CIF:
```
data_CdCo2Cu
_symmetry_space_group_name_H-M 'P 1'
_symmetry_Int_Tables_number 1
_cell_length_a 4.309
_cell_length_b 2.631
_cell_length_c 4.892
_cell_angle_alpha 80.93
_cell_angle_beta 90.00
_cell_angle_gamma 90.00
loop_
_symmetry_equiv_pos_as_xyz
'x,y,z'
loop_
_atom_site_label
_atom_site_type_symbol
_atom_site_fract_x
_atom_site_fract_y
_atom_site_fract_z
_atom_site_occupancy
Cd1 Cd 0.500 0.750 0.750 1
Co1 Co 0.000 0.045 0.029 1
Co2 Co 0.000 0.455 0.471 1
Cu1 Cu 0.500 0.250 0.250 1
```

- space group = P2/m, No. 10

5.
Compound: CdCo2Cu
Source: Alexandria via LeMat-Bulk
Functional: GGA-PBE
Structure: relaxed

Cell and atoms, written as CIF:
```
data_CdCo2Cu
_symmetry_space_group_name_H-M 'P 1'
_symmetry_Int_Tables_number 1
_cell_length_a 8.908
_cell_length_b 8.908
_cell_length_c 8.908
_cell_angle_alpha 17.32
_cell_angle_beta 17.32
_cell_angle_gamma 17.32
loop_
_symmetry_equiv_pos_as_xyz
'x,y,z'
loop_
_atom_site_label
_atom_site_type_symbol
_atom_site_fract_x
_atom_site_fract_y
_atom_site_fract_z
_atom_site_occupancy
Cd1 Cd 0.750 0.750 0.750 1
Co1 Co 0.993 0.993 0.993 1
Co2 Co 0.507 0.507 0.507 1
Cu1 Cu 0.250 0.250 0.250 1
```

- space group = R-3m, No. 166

6.
Compound: CdCo2Cu
Source: Alexandria via LeMat-Bulk
Functional: GGA-PBE
Structure: relaxed

Cell and atoms, written as CIF:
```
data_CdCo2Cu
_symmetry_space_group_name_H-M 'P 1'
_symmetry_Int_Tables_number 1
_cell_length_a 4.482
_cell_length_b 4.482
_cell_length_c 4.802
_cell_angle_alpha 80.61
_cell_angle_beta 80.61
_cell_angle_gamma 35.00
loop_
_symmetry_equiv_pos_as_xyz
'x,y,z'
loop_
_atom_site_label
_atom_site_type_symbol
_atom_site_fract_x
_atom_site_fract_y
_atom_site_fract_z
_atom_site_occupancy
Cd1 Cd 0.749 0.749 0.741 1
Co1 Co 0.991 0.991 0.049 1
Co2 Co 0.253 0.253 0.230 1
Cu1 Cu 0.507 0.507 0.480 1
```

- space group = Cm, No. 8

| no. | E (eV/cell) | energy of formation from the pure elements (eV per atom) |
| --- | --- | --- |
| 1 | -13.0 | 0.10 |
| 2 | -11.5 | 0.13 |
| 3 | -18.0 | 0.31 |
| 4 | -17.8 | 0.34 |
| 5 | -17.7 | 0.38 |
| 6 | -18.1 | 0.28 |